VASP calculation (PBE) on a relaxed structure of ZnInIBr2.

The structure in POSCAR format:
```
ZnInIBr2
1.0
-1.461 -0.158 5.009
-0.817 -5.140 -0.401
5.437 -0.986 1.555
I Zn Br In
1 1 2 1
Cartesian
2.718 -0.493 0.777
0.000 0.000 0.000
-0.409 -2.570 -0.200
-0.731 -0.079 2.504
1.579 -3.142 3.081
```

Values from the calculation:
* D(E_F): 0.69 states/eV per cell
* formation energy (no corrections): -2.75 eV per formula unit
* M_tot: 0.00 μB per cell


VASP calculation (PBE) on a relaxed structure of ZrIn2I4Br2.

The structure in POSCAR format:
```
ZrIn2I4Br2
1.0
-0.826 4.153 6.407
-6.590 4.400 -0.199
-6.172 -2.477 4.312
Zr In I Br
1 2 4 2
Cartesian
-0.413 2.076 3.204
-9.579 2.626 4.890
-4.009 3.450 5.630
-5.800 3.863 2.631
-7.999 5.684 5.611
-7.788 2.212 7.889
-5.589 0.391 4.909
-2.622 1.207 2.082
-10.966 4.868 8.438
```

Values from the calculation:
* D(E_F): 0.00 states/eV per cell
* formation energy (no corrections): -7.46 eV per formula unit
* M_tot: 0.00 μB per cell


VASP calculation (PBE) on a relaxed structure of Ir3IBr.

The structure in POSCAR format:
```
Ir3IBr
1.0
4.943 0.000 0.000
0.000 4.943 0.000
0.000 0.000 4.943
I Ir Br
1 3 1
Cartesian
0.000 0.000 0.000
0.000 2.472 0.000
0.000 0.000 2.472
2.472 0.000 0.000
2.472 2.472 2.472
```

Values from the calculation:
* excess energy over the best structure of this formula in the dataset: 0.1588 eV per atom
* D(E_F): 7.68 states/eV per cell
* formation energy (no corrections): 10.94 eV per formula unit
* M_tot: 0.00 μB per cell


VASP calculation (PBE) on a relaxed structure of IrI2Br6.

The structure in POSCAR format:
```
IrI2Br6
1.0
-4.437 -8.196 -5.353
7.158 -6.094 -3.677
0.053 -8.352 5.669
Ir I Br
2 4 12
Cartesian
5.176 -8.421 -3.867
-2.403 -14.222 0.507
-0.044 -9.113 -2.189
0.556 -17.642 -3.793
2.818 -13.530 -1.172
2.217 -5.001 0.432
-0.827 -11.613 -3.118
1.088 -15.221 -2.533
3.601 -11.029 -0.243
1.686 -7.422 -0.828
-3.846 -14.300 -1.378
-0.245 -13.917 1.452
6.620 -8.343 -1.983
3.019 -8.725 -4.813
-3.132 -7.941 -4.260
3.651 -18.811 -1.730
5.905 -14.702 0.900
-0.877 -3.831 -1.631
```

Values from the calculation:
* D(E_F): 13.25 states/eV per cell
* formation energy (no corrections): 0.71 eV per formula unit
* M_tot: 1.08 μB per cell


VASP calculation (PBE) on a relaxed structure of Ir3IBr.

The structure in POSCAR format:
```
Ir3IBr
1.0
4.736 0.000 0.000
0.000 4.736 0.000
0.000 0.000 4.736
I Ir Br
1 3 1
Cartesian
2.368 2.368 2.368
0.000 2.368 0.000
0.000 0.000 2.368
2.368 0.000 0.000
0.000 0.000 0.000
```

Values from the calculation:
* excess energy over the best structure of this formula in the dataset: 0.0000 eV per atom
* D(E_F): 6.14 states/eV per cell
* formation energy (no corrections): 10.14 eV per formula unit
* M_tot: 0.00 μB per cell


VASP calculation (PBE) on a relaxed structure of IrIBr6.

The structure in POSCAR format:
```
IrIBr6
1.0
-6.338 5.213 -0.931
-3.330 -4.582 -3.322
-3.835 -4.117 3.385
Ir I Br
1 1 6
Cartesian
-0.149 -0.180 0.001
-3.318 2.426 -0.464
-8.482 -0.635 -2.435
-5.318 -3.212 1.570
-5.556 -5.295 -2.093
-3.346 -2.611 -2.112
-8.244 1.448 1.227
-10.455 -1.236 1.247
```

Values from the calculation:
* D(E_F): 8.15 states/eV per cell
* formation energy (no corrections): -0.65 eV per formula unit
* M_tot: 0.00 μB per cell